DFT (PBE-GGA) results for a geometry-optimized BaHfGe structure.

Properties
Polymorph energy (0 for the lowest one) ... 871 meV/atom
Crystal system ... cubic
Energy ... -12.89 eV/cell

abc: 5.1761 5.1761 5.1761
angles: 60.00 60.00 60.00
Closest atoms and distances in Å follow each position.
Sites, in units of the cell vectors:
Ba  0.0000  0.0000  0.0000  4 Hf 3.17, 4 Ge 3.17
Ge  0.2500  0.2500  0.2500  4 Ba 3.17
Hf  0.7500  0.7500  0.7500  4 Ba 3.17